LiNdSc2Ga4 | PBE | relaxed

Unit cell a=8.6539 b=8.6539 c=8.6539 alpha=32.05 beta=32.05 gamma=32.05
Closest atoms and distances in Å follow each position.
Fractional positions:
Li 0.0000 0.0000 0.0000  8 Ga 2.87-2.91
Nd 0.5000 0.5000 0.5000  8 Ga 3.02-3.16
Sc 0.2572 0.2572 0.2572  7 Ga 2.81-2.93
Sc 0.7428 0.7428 0.7428  7 Ga 2.81-2.93
Ga 0.1165 0.1165 0.1165  1 Li 2.87, 3 Sc 2.93, 3 Nd 3.02
Ga 0.3714 0.3714 0.3714  4 Sc 2.81-2.91, 3 Li 2.91
Ga 0.6286 0.6286 0.6286  4 Sc 2.81-2.91, 3 Li 2.91
Ga 0.8835 0.8835 0.8835  1 Li 2.87, 3 Sc 2.93, 3 Nd 3.02

The space-group type is R-3m (166). The calculated total energy is -35.3 eV for the cell shown.

Li2NdSm2Ga2 | PBE | relaxed

Unit cell a=9.2866 b=9.2866 c=9.2866 alpha=29.27 beta=29.27 gamma=29.27
Closest atoms and distances in Å follow each position.
Fractional positions:
Li 0.1025 0.1025 0.1025  3 Ga 2.72
Li 0.8975 0.8975 0.8975  3 Ga 2.72
Nd 0.5000 0.5000 0.5000  6 Li 3.20, 6 Ga 3.32, 2 Sm 3.37
Sm 0.3734 0.3734 0.3734  3 Ga 3.07, 3 Li 3.18, 1 Nd 3.37
Sm 0.6266 0.6266 0.6266  3 Ga 3.07, 3 Li 3.18, 1 Nd 3.37
Ga 0.2389 0.2389 0.2389  3 Li 2.72
Ga 0.7611 0.7611 0.7611  3 Li 2.72

The space-group type is R-3m (166). The calculated total energy is -26.1 eV for the cell shown.

LiNdGaSn | PBE | relaxed

Unit cell a=5.1310 b=5.1310 c=5.1310 alpha=60.00 beta=60.00 gamma=60.00
Closest atoms and distances in Å follow each position.
Fractional positions:
Li 0.0000 0.0000 0.0000  4 Sn 3.14, 4 Ga 3.14
Nd 0.5000 0.5000 0.5000  4 Sn 3.14, 4 Ga 3.14
Ga 0.2500 0.2500 0.2500  4 Nd 3.14, 4 Li 3.14
Sn 0.7500 0.7500 0.7500  4 Li 3.14, 4 Nd 3.14

The space-group type is F-43m (216). The calculated total energy is -15.4 eV for the cell shown.

Li2NdGaSn2 | PBE | relaxed

Unit cell a=4.4888 b=8.5022 c=7.5033 alpha=90.00 beta=90.00 gamma=90.00
Closest atoms and distances in Å follow each position.
Fractional positions:
Li 0.0000 0.0810 0.0000  3 Sn 2.99-3.17, 2 Li 3.24, 1 Ga 3.33
Li 0.0000 0.9190 0.5000  3 Sn 2.99-3.17, 2 Li 3.24, 1 Ga 3.33
Li 0.5000 0.1513 0.3325  4 Sn 2.75-2.85
Li 0.5000 0.8487 0.8325  4 Sn 2.75-2.85
Nd 0.5000 0.4505 0.9859  4 Ga 3.17-3.43, 5 Sn 3.25-3.30
Nd 0.5000 0.5495 0.4859  4 Ga 3.17-3.43, 5 Sn 3.25-3.30
Ga 0.0000 0.3378 0.6643  4 Sn 2.76-2.94
Ga 0.0000 0.6622 0.1643  4 Sn 2.76-2.94
Sn 0.0000 0.3369 0.2727  3 Li 2.78-2.99, 2 Ga 2.88-2.94
Sn 0.0000 0.6631 0.7727  3 Li 2.78-2.99, 2 Ga 2.88-2.94
Sn 0.5000 0.1543 0.7126  2 Li 2.75-2.85, 2 Ga 2.76
Sn 0.5000 0.8457 0.2126  2 Li 2.75-2.85, 2 Ga 2.76

The space-group type is Pmc2_1 (26). The calculated total energy is -44.7 eV for the cell shown.

SrLiNdGa | PBE | relaxed

Unit cell a=5.4322 b=5.4322 c=5.4322 alpha=60.00 beta=60.00 gamma=60.00
Closest atoms and distances in Å follow each position.
Fractional positions:
Sr 0.0000 0.0000 0.0000  4 Ga 3.33, 4 Li 3.33
Li 0.2500 0.2500 0.2500  4 Nd 3.33, 4 Sr 3.33
Nd 0.5000 0.5000 0.5000  4 Ga 3.33, 4 Li 3.33
Ga 0.7500 0.7500 0.7500  4 Nd 3.33, 4 Sr 3.33

The space-group type is F-43m (216). The calculated total energy is -12.2 eV for the cell shown.

Li2TbNd2Ga2 | PBE | relaxed

Unit cell a=9.3431 b=9.3431 c=9.3431 alpha=28.80 beta=28.80 gamma=28.80
Closest atoms and distances in Å follow each position.
Fractional positions:
Li 0.1097 0.1097 0.1097  3 Ga 2.70
Li 0.8903 0.8903 0.8903  3 Ga 2.70
Tb 0.5000 0.5000 0.5000  6 Li 3.09, 6 Ga 3.23, 2 Nd 3.37
Nd 0.3745 0.3745 0.3745  3 Ga 3.11, 3 Li 3.25, 1 Tb 3.37, 3 Nd 3.48
Nd 0.6255 0.6255 0.6255  3 Ga 3.11, 3 Li 3.25, 1 Tb 3.37, 3 Nd 3.48
Ga 0.2336 0.2336 0.2336  3 Li 2.70
Ga 0.7664 0.7664 0.7664  3 Li 2.70

The space-group type is R-3m (166). The calculated total energy is -26.1 eV for the cell shown.

LiNdTlGa | PBE | relaxed

Unit cell a=5.1320 b=5.1320 c=5.1320 alpha=60.00 beta=60.00 gamma=60.00
Closest atoms and distances in Å follow each position.
Fractional positions:
Li 0.0000 0.0000 0.0000  4 Tl 3.14, 4 Ga 3.14
Nd 0.5000 0.5000 0.5000  4 Tl 3.14, 4 Ga 3.14
Tl 0.2500 0.2500 0.2500  4 Li 3.14, 4 Nd 3.14
Ga 0.7500 0.7500 0.7500  4 Li 3.14, 4 Nd 3.14

The space-group type is F-43m (216). The calculated total energy is -13.5 eV for the cell shown.

LiNdTmGa | PBE | relaxed

Unit cell a=5.1500 b=5.1500 c=5.1500 alpha=60.00 beta=60.00 gamma=60.00
Closest atoms and distances in Å follow each position.
Fractional positions:
Li 0.0000 0.0000 0.0000  4 Nd 3.15, 4 Tm 3.15
Nd 0.7500 0.7500 0.7500  4 Li 3.15, 4 Ga 3.15
Tm 0.2500 0.2500 0.2500  4 Li 3.15, 4 Ga 3.15
Ga 0.5000 0.5000 0.5000  4 Nd 3.15, 4 Tm 3.15

The space-group type is F-43m (216). The calculated total energy is -15.4 eV for the cell shown.

Number 1: total magnetic moment 0.00 μB per formula unit. Number 2: total magnetic moment 0.00 μB per formula unit. Number 3: total magnetic moment 0.00 μB per formula unit. Number 4: total magnetic moment 0.00 μB per formula unit. Number 5: total magnetic moment 0.00 μB per formula unit. Number 6: total magnetic moment 0.00 μB per formula unit. Number 7: total magnetic moment 0.00 μB per formula unit. Number 8: total magnetic moment 0.00 μB per formula unit.